{"formula": "Al7V2Ga2", "functional": "PBE", "state": "relaxed", "m_tot_mub_per_atom": 0.00, "e_tot_ev_per_atom": -4.74, "sg": "C2/m, No. 12", "lattice_angstrom": [[3.408, -4.135, 0.000], [3.408, 4.135, 0.000], [-2.301, 0.000, 6.174]], "species": ["Al", "Al", "Al", "Al", "Al", "Al", "Al", "V", "V", "Ga", "Ga"], "fractional_positions": [[0.000, 0.000, 0.000], [0.113, 0.494, 0.844], [0.193, 0.193, 0.468], [0.494, 0.113, 0.844], [0.506, 0.887, 0.156], [0.807, 0.807, 0.532], [0.887, 0.506, 0.156], [0.400, 0.400, 0.203], [0.600, 0.600, 0.797], [0.279, 0.721, 0.500], [0.721, 0.279, 0.500]]}